VASP calculation (PBE-GGA) on a relaxed PmPbO crystal.

Output
Energy above the lowest structure with this stoichiometry in meV per atom: 292
Raw formation energy in meV per atom: -1691

abc: 3.3298 3.3298 13.3621
angles: 90.00 90.00 90.00
Fractional coordinates of all 6 atoms:
Pm 0.0000 0.0000 0.0000
Pm 0.5000 0.5000 0.5000
Pb 0.0000 0.0000 0.2744
Pb 0.5000 0.5000 0.7744
O 0.0000 0.0000 0.5227
O 0.5000 0.5000 0.0227


VASP calculation (PBE-GGA) on a relaxed Pm3PbO3 crystal.

Output
Energy above the lowest structure with this stoichiometry in meV per atom: 86
Raw formation energy in meV per atom: -2495

abc: 8.9340 8.9340 8.9340
angles: 44.66 44.66 44.66
Fractional coordinates of all 14 atoms:
Pm 0.0486 0.3978 0.7404
Pm 0.2596 0.9514 0.6022
Pm 0.3978 0.7404 0.0486
Pm 0.6022 0.2596 0.9514
Pm 0.7404 0.0486 0.3978
Pm 0.9514 0.6022 0.2596
Pb 0.1665 0.1665 0.1665
Pb 0.8335 0.8335 0.8335
O 0.0496 0.6969 0.3667
O 0.3031 0.6333 0.9504
O 0.3667 0.0496 0.6969
O 0.6333 0.9504 0.3031
O 0.6969 0.3667 0.0496
O 0.9504 0.3031 0.6333